Record 1
Ir3BrN, optimized geometry, DFT PBE; ΔE_f (raw) = 1.302 eV per atom; energy = -30.1 eV for the cell shown
1.0
4.197 0.000 0.000
0.000 4.197 0.000
0.000 0.000 4.197
Ir Br N
3 1 1
direct
0.000 0.000 0.500
0.000 0.500 0.000
0.500 0.000 0.000
0.500 0.500 0.500
0.000 0.000 0.000

Record 2
IrBrN, optimized geometry, DFT PBE; ΔE_f (raw) = 0.508 eV per atom; energy = -34.7 eV for the cell shown
1.0
3.509 0.000 0.000
-1.732 5.349 0.000
-1.682 -1.842 9.114
Ir Br N
2 2 2
direct
0.000 0.000 0.000
0.162 0.529 0.817
0.108 0.653 0.580
0.160 0.038 0.259
0.074 0.256 0.909
0.763 0.671 0.886

Record 3
Ir3BrN, optimized geometry, DFT PBE; ΔE_f (raw) = 3.082 eV per atom; energy = -21.2 eV for the cell shown
1.0
4.643 0.000 0.000
0.000 4.643 0.000
0.000 0.000 4.643
Ir Br N
3 1 1
direct
0.000 0.000 0.500
0.000 0.500 0.000
0.500 0.000 0.000
0.000 0.000 0.000
0.500 0.500 0.500

Record 4
NaIrBrN2, optimized geometry, DFT PBE; ΔE_f (raw) = 2.622 eV per atom; energy = -15.4 eV for the cell shown
1.0
4.213 0.000 0.000
0.000 4.213 0.000
0.000 0.000 4.886
Na Ir Br N
1 1 1 2
direct
0.000 0.000 0.000
0.500 0.500 0.000
0.000 0.000 0.500
0.000 0.500 0.500
0.500 0.000 0.500

Record 5
Nd8Ir3Br4N, optimized geometry, DFT PBE; ΔE_f (raw) = -1.098 eV per atom; energy = -97.3 eV for the cell shown
1.0
7.073 -4.071 0.000
7.073 4.071 0.000
-4.732 0.000 7.753
Nd Ir Br N
8 3 4 1
direct
0.219 0.749 0.686
0.222 0.222 0.688
0.251 0.781 0.314
0.267 0.267 0.301
0.733 0.733 0.699
0.749 0.219 0.686
0.778 0.778 0.312
0.781 0.251 0.314
0.000 0.500 0.500
0.500 0.000 0.500
0.500 0.500 0.500
0.000 0.000 0.000
0.000 0.500 0.000
0.500 0.000 0.000
0.500 0.500 0.000
0.000 0.000 0.500

Record 6
Nd6Ir2Br3N, optimized geometry, DFT PBE; ΔE_f (raw) = -1.145 eV per atom; energy = -73.4 eV for the cell shown
1.0
3.509 -6.068 0.000
3.509 6.068 0.000
-2.291 0.000 7.718
Nd Ir Br N
6 2 3 1
direct
0.061 0.374 0.187
0.252 0.252 0.813
0.374 0.061 0.187
0.626 0.939 0.813
0.748 0.748 0.187
0.939 0.626 0.813
0.333 0.667 0.000
0.667 0.333 0.000
0.164 0.836 0.500
0.500 0.500 0.500
0.836 0.164 0.500
0.000 0.000 0.000

Record 7
IrBrNO2, optimized geometry, DFT PBE; ΔE_f (raw) = 0.561 eV per atom; energy = -26.0 eV for the cell shown
1.0
3.940 0.000 0.000
0.000 3.940 0.000
0.000 0.000 3.917
Ir Br N O
1 1 1 2
direct
0.000 0.000 0.000
0.500 0.500 0.500
0.000 0.000 0.500
0.000 0.500 0.000
0.500 0.000 0.000

Record 8
IrBrNO2, optimized geometry, DFT PBE; ΔE_f (raw) = 1.937 eV per atom; energy = -19.1 eV for the cell shown
1.0
3.618 0.000 0.000
0.000 3.618 0.000
0.000 0.000 5.068
Ir Br N O
1 1 1 2
direct
0.000 0.000 0.000
0.500 0.500 0.500
0.500 0.500 0.000
0.000 0.500 0.500
0.500 0.000 0.500

Record 9
IrOsBrN2, optimized geometry, DFT PBE; ΔE_f (raw) = 1.685 eV per atom; energy = -30.0 eV for the cell shown
1.0
3.721 0.000 0.000
0.000 3.721 0.000
0.000 0.000 7.924
Ir Os Br N
1 1 1 2
direct
0.000 0.000 0.000
0.500 0.500 0.500
0.000 0.000 0.500
0.000 0.500 0.000
0.500 0.000 0.000

Record 10
Pr8Ir3Br3N, optimized geometry, DFT PBE; ΔE_f (raw) = -0.933 eV per atom; energy = -92.2 eV for the cell shown
1.0
7.138 -4.117 0.000
7.138 4.117 0.000
-4.748 0.000 7.752
Pr Ir Br N
8 3 3 1
direct
0.218 0.750 0.687
0.219 0.219 0.687
0.250 0.782 0.313
0.267 0.267 0.300
0.733 0.733 0.700
0.750 0.218 0.687
0.781 0.781 0.313
0.782 0.250 0.313
0.000 0.500 0.500
0.500 0.000 0.500
0.500 0.500 0.500
0.000 0.000 0.000
0.000 0.500 0.000
0.500 0.000 0.000
0.000 0.000 0.500

Record 11
Pr6Ir2Br3N, optimized geometry, DFT PBE; ΔE_f (raw) = -1.133 eV per atom; energy = -73.3 eV for the cell shown
1.0
3.530 -6.106 0.000
3.530 6.106 0.000
-2.320 0.000 7.781
Pr Ir Br N
6 2 3 1
direct
0.062 0.375 0.188
0.252 0.252 0.812
0.375 0.062 0.188
0.625 0.938 0.812
0.748 0.748 0.188
0.938 0.625 0.812
0.333 0.667 0.000
0.667 0.333 0.000
0.165 0.835 0.500
0.500 0.500 0.500
0.835 0.165 0.500
0.000 0.000 0.000

Record 12
ReIrBrN2, optimized geometry, DFT PBE; ΔE_f (raw) = 1.397 eV per atom; energy = -32.6 eV for the cell shown
1.0
3.782 0.000 0.000
0.000 3.782 0.000
0.000 0.000 5.663
Re Ir Br N
1 1 1 2
direct
0.000 0.000 0.000
0.000 0.000 0.500
0.500 0.500 0.000
0.000 0.500 0.500
0.500 0.000 0.500

Record 13
IrS2BrN, optimized geometry, DFT PBE; ΔE_f (raw) = 2.142 eV per atom; energy = -16.4 eV for the cell shown
1.0
4.879 0.000 0.000
0.000 4.879 0.000
0.000 0.000 3.527
Ir S Br N
1 2 1 1
direct
0.000 0.000 0.000
0.000 0.500 0.500
0.500 0.000 0.500
0.500 0.500 0.500
0.500 0.500 0.000

Record 14
IrS2BrN, optimized geometry, DFT PBE; ΔE_f (raw) = 0.709 eV per atom; energy = -23.6 eV for the cell shown
1.0
4.913 0.000 0.000
0.000 4.913 0.000
0.000 0.000 3.692
Ir S Br N
1 2 1 1
direct
0.000 0.000 0.000
0.000 0.500 0.000
0.500 0.000 0.000
0.500 0.500 0.500
0.000 0.000 0.500

Record 15
IrSBrN2, optimized geometry, DFT PBE; ΔE_f (raw) = 0.958 eV per atom; energy = -26.5 eV for the cell shown
1.0
3.784 0.000 0.000
0.000 3.784 0.000
0.000 0.000 5.504
Ir S Br N
1 1 1 2
direct
0.000 0.000 0.000
0.000 0.000 0.500
0.500 0.500 0.500
0.000 0.500 0.000
0.500 0.000 0.000

Record 16
IrSeBrN2, optimized geometry, DFT PBE; ΔE_f (raw) = 0.868 eV per atom; energy = -26.3 eV for the cell shown
1.0
3.821 0.000 0.000
0.000 3.821 0.000
0.000 0.000 5.699
Ir Se Br N
1 1 1 2
direct
0.000 0.000 0.000
0.000 0.000 0.500
0.500 0.500 0.500
0.000 0.500 0.000
0.500 0.000 0.000

Record 17
IrSeBrN2, optimized geometry, DFT PBE; ΔE_f (raw) = 2.404 eV per atom; energy = -18.7 eV for the cell shown
1.0
3.673 0.000 0.000
0.000 3.673 0.000
0.000 0.000 7.753
Ir Se Br N
1 1 1 2
direct
0.000 0.000 0.000
0.500 0.500 0.000
0.500 0.500 0.500
0.000 0.500 0.500
0.500 0.000 0.500

Record 18
IrSe2BrN, optimized geometry, DFT PBE; ΔE_f (raw) = 1.507 eV per atom; energy = -18.3 eV for the cell shown
1.0
4.438 0.000 0.000
0.000 4.438 0.000
0.000 0.000 4.273
Ir Se Br N
1 2 1 1
direct
0.000 0.000 0.000
0.000 0.500 0.500
0.500 0.000 0.500
0.500 0.500 0.000
0.500 0.500 0.500

Record 19
IrSe2BrN, optimized geometry, DFT PBE; ΔE_f (raw) = 1.980 eV per atom; energy = -15.9 eV for the cell shown
1.0
5.156 0.000 0.000
0.000 5.156 0.000
0.000 0.000 3.545
Ir Se Br N
1 2 1 1
direct
0.000 0.000 0.000
0.000 0.500 0.500
0.500 0.000 0.500
0.500 0.500 0.500
0.500 0.500 0.000

Record 20
IrSeBr2N, optimized geometry, DFT PBE; ΔE_f (raw) = 1.682 eV per atom; energy = -15.6 eV for the cell shown
1.0
4.395 0.000 0.000
0.000 4.395 0.000
0.000 0.000 4.713
Ir Se Br N
1 1 2 1
direct
0.000 0.000 0.000
0.500 0.500 0.000
0.000 0.500 0.500
0.500 0.000 0.500
0.500 0.500 0.500